! ScCoTcSn, relaxed, DFT PBE; values from VASP
&SYSTEM
  ibrav = 0, nat = 4, ntyp = 4
/
ATOMIC_SPECIES
Sc 44.96 Sc.upf
Co 58.93 Co.upf
Sn 118.71 Sn.upf
Tc 98.00 Tc.upf
CELL_PARAMETERS angstrom
4.4990 0.0000 0.0000
2.2495 3.8963 0.0000
2.2495 1.2988 3.6734
ATOMIC_POSITIONS crystal
Sc 0.0000 0.0000 0.0000
Co 0.7500 0.7500 0.7500
Sn 0.5000 0.5000 0.5000
Tc 0.2500 0.2500 0.2500
! VASP energy in eV/cell: -28.63

! Te6AsAu2, relaxed, DFT PBE; values from VASP
&SYSTEM
  ibrav = 0, nat = 18, ntyp = 3
/
ATOMIC_SPECIES
Te 127.60 Te.upf
As 74.92 As.upf
Au 196.97 Au.upf
CELL_PARAMETERS angstrom
7.2332 0.4232 0.4097
2.6367 8.9133 -0.8039
2.6367 -0.5147 8.9347
ATOMIC_POSITIONS crystal
Te 0.4393 0.7049 0.4821
Te 0.0607 0.5179 0.2951
Te 0.5607 0.2951 0.5179
Te 0.9393 0.4821 0.7049
Te 0.8426 0.9636 0.4293
Te 0.6574 0.5707 0.0364
Te 0.1574 0.0364 0.5707
Te 0.3426 0.4293 0.9636
Te 0.0940 0.8334 0.9828
Te 0.4060 0.0172 0.1666
Te 0.9060 0.1666 0.0172
Te 0.5940 0.9828 0.8334
As 0.2500 0.1908 0.8092
As 0.7500 0.8092 0.1908
Au 0.2390 0.5970 0.7290
Au 0.2610 0.2710 0.4030
Au 0.7610 0.4030 0.2710
Au 0.7390 0.7290 0.5970
! ΔE_f (raw) in eV per atom: 0.070

! Ba3PtRh, relaxed, DFT PBE; values from VASP
&SYSTEM
  ibrav = 0, nat = 5, ntyp = 3
/
ATOMIC_SPECIES
Rh 102.91 Rh.upf
Ba 137.33 Ba.upf
Pt 195.08 Pt.upf
CELL_PARAMETERS angstrom
5.8112 0.0000 0.0000
0.0000 5.8112 0.0000
0.0000 0.0000 5.8112
ATOMIC_POSITIONS crystal
Rh 0.0000 0.0000 0.0000
Ba 0.0000 0.5000 0.0000
Ba 0.0000 0.0000 0.5000
Ba 0.5000 0.0000 0.0000
Pt 0.5000 0.5000 0.5000
! Relative energy among the computed polymorphs in meV per atom: 0

! CrCuAg3, relaxed, DFT PBE; values from VASP
&SYSTEM
  ibrav = 0, nat = 5, ntyp = 3
/
ATOMIC_SPECIES
Cr 52.00 Cr.upf
Cu 63.55 Cu.upf
Ag 107.87 Ag.upf
CELL_PARAMETERS angstrom
-0.9331 -4.5714 0.9963
3.1096 0.1531 3.6149
-3.4958 1.3564 2.9497
ATOMIC_POSITIONS crystal
Cr 0.5000 0.5000 0.5000
Cu 0.0000 0.0000 0.0000
Ag 0.0000 0.5000 0.0000
Ag 0.0000 0.0000 0.5000
Ag 0.5000 0.0000 0.0000
! Relative energy among the computed polymorphs in meV per atom: 0

! Cs12K5Zn2, relaxed, DFT PBE; values from VASP
&SYSTEM
  ibrav = 0, nat = 19, ntyp = 3
/
ATOMIC_SPECIES
Cs 132.91 Cs.upf
K 39.10 K.upf
Zn 65.41 Zn.upf
CELL_PARAMETERS angstrom
1.1334 9.7257 1.1684
-8.0324 2.2335 -10.7993
-10.9985 -4.5190 6.6723
ATOMIC_POSITIONS crystal
Cs 0.0142 0.1680 0.0284
Cs 0.4111 0.9494 0.2915
Cs 0.8804 0.9494 0.2915
Cs 0.4063 0.5588 0.3019
Cs 0.8956 0.5588 0.3019
Cs 0.4757 0.7357 0.9514
Cs 0.5243 0.2643 0.0486
Cs 0.5937 0.4412 0.6981
Cs 0.1044 0.4412 0.6981
Cs 0.5889 0.0506 0.7085
Cs 0.1196 0.0506 0.7085
Cs 0.9858 0.8320 0.9716
K 0.7979 0.7477 0.5957
K 0.7170 0.2464 0.4341
K 0.0000 0.5000 0.0000
K 0.2830 0.7536 0.5659
K 0.2021 0.2523 0.4043
Zn 0.6318 0.0000 0.0000
Zn 0.3682 0.0000 0.0000
! VASP energy in eV/cell: -17.37

! Ba2YInCl, relaxed, DFT PBE; values from VASP
&SYSTEM
  ibrav = 0, nat = 5, ntyp = 4
/
ATOMIC_SPECIES
Y 88.91 Y.upf
Cl 35.45 Cl.upf
Ba 137.33 Ba.upf
In 114.82 In.upf
CELL_PARAMETERS angstrom
-5.5799 -3.5935 -1.7593
2.0081 -0.6324 -5.0773
3.1170 -5.7971 1.9549
ATOMIC_POSITIONS crystal
Y 0.5000 0.5000 0.5000
Cl 0.0000 0.5000 0.0000
Ba 0.0000 0.0000 0.5000
Ba 0.5000 0.0000 0.0000
In 0.0000 0.0000 0.0000
! ΔE_f (raw) in eV per atom: 0.166

! Tb6NdY3, relaxed, DFT PBE; values from VASP
&SYSTEM
  ibrav = 0, nat = 10, ntyp = 3
/
ATOMIC_SPECIES
Tb 158.93 Tb.upf
Nd 144.24 Nd.upf
Y 88.91 Y.upf
CELL_PARAMETERS angstrom
-6.9611 -2.5512 6.5284
1.5584 -7.5401 6.1890
-0.2519 -0.8965 6.8550
ATOMIC_POSITIONS crystal
Tb 0.9001 0.5708 0.3000
Tb 0.2291 0.9001 0.3000
Tb 0.5708 0.2291 0.3000
Tb 0.0698 0.4002 0.7999
Tb 0.7301 0.0698 0.7999
Tb 0.4002 0.7301 0.7999
Nd 0.9001 0.9001 0.2998
Y 0.4000 0.4000 0.7999
Y 0.6473 0.6473 0.0581
Y 0.1526 0.1526 0.5423
! Relative energy among the computed polymorphs in meV per atom: 136

! Rb2TeAuI6, relaxed, DFT PBE; values from VASP
&SYSTEM
  ibrav = 0, nat = 10, ntyp = 4
/
ATOMIC_SPECIES
I 126.90 I.upf
Te 127.60 Te.upf
Au 196.97 Au.upf
Rb 85.47 Rb.upf
CELL_PARAMETERS angstrom
-6.4299 2.5250 4.9051
-5.1315 0.0286 -6.7414
-7.2175 -4.4595 0.1512
ATOMIC_POSITIONS crystal
I 0.2443 0.2443 0.5114
I 0.7557 0.7557 0.4886
I 0.2441 0.2441 0.0000
I 0.7559 0.7559 0.0000
I 0.7559 0.2441 0.0000
I 0.2441 0.7559 0.0000
Te 0.5000 0.5000 0.0000
Au 0.0000 0.0000 0.0000
Rb 0.7500 0.2500 0.5000
Rb 0.2500 0.7500 0.5000
! ΔE_f (raw) in eV per atom: -0.640

! Cr3BiTe, relaxed, DFT PBE; values from VASP
&SYSTEM
  ibrav = 0, nat = 5, ntyp = 3
/
ATOMIC_SPECIES
Cr 52.00 Cr.upf
Te 127.60 Te.upf
Bi 208.98 Bi.upf
CELL_PARAMETERS angstrom
-4.5999 -1.4905 2.1331
-2.0527 -0.5844 -4.8349
1.5994 -5.0367 -0.0702
ATOMIC_POSITIONS crystal
Cr 0.0000 0.5000 0.0000
Cr 0.0000 0.0000 0.5000
Cr 0.5000 0.0000 0.0000
Te 0.5000 0.5000 0.5000
Bi 0.0000 0.0000 0.0000
! ΔE_f (raw) in eV per atom: 1.104
! Relative energy among the computed polymorphs in meV per atom: 0

! NaGaIN2, relaxed, DFT PBE; values from VASP
&SYSTEM
  ibrav = 0, nat = 5, ntyp = 4
/
ATOMIC_SPECIES
I 126.90 I.upf
Na 22.99 Na.upf
Ga 69.72 Ga.upf
N 14.01 N.upf
CELL_PARAMETERS angstrom
-1.2695 -4.5466 0.7171
4.5789 -1.1718 0.6768
-0.6331 1.1725 6.3130
ATOMIC_POSITIONS crystal
I 0.0000 0.0000 0.5000
Na 0.0000 0.0000 0.0000
Ga 0.5000 0.5000 0.5000
N 0.0000 0.5000 0.0000
N 0.5000 0.0000 0.0000
! ΔE_f (raw) in eV per atom: 1.517
! Relative energy among the computed polymorphs in meV per atom: 737

! Nb4TcMo2, relaxed, DFT PBE; values from VASP
&SYSTEM
  ibrav = 0, nat = 7, ntyp = 3
/
ATOMIC_SPECIES
Nb 92.91 Nb.upf
Tc 98.00 Tc.upf
Mo 95.94 Mo.upf
CELL_PARAMETERS angstrom
4.7123 0.0000 0.0000
0.0000 5.0636 -1.9181
0.0000 -5.5736 7.3638
ATOMIC_POSITIONS crystal
Nb 0.5000 0.2824 0.0337
Nb 0.0000 0.0256 0.3835
Nb 0.5000 0.8606 0.1092
Nb 0.0000 0.1166 0.7592
Tc 0.0000 0.0715 0.0715
Mo 0.5000 0.3731 0.6217
Mo 0.5000 0.7699 0.5213
! Relative energy among the computed polymorphs in meV per atom: 224

! LiZnB3, relaxed, DFT PBE; values from VASP
&SYSTEM
  ibrav = 0, nat = 5, ntyp = 3
/
ATOMIC_SPECIES
Zn 65.41 Zn.upf
B 10.81 B.upf
Li 6.94 Li.upf
CELL_PARAMETERS angstrom
-1.5906 3.1198 1.2999
-3.0918 -0.7630 -1.9523
-1.3651 -1.9073 2.9072
ATOMIC_POSITIONS crystal
Zn 0.5000 0.5000 0.5000
B 0.0000 0.5000 0.0000
B 0.0000 0.0000 0.5000
B 0.5000 0.0000 0.0000
Li 0.0000 0.0000 0.0000
! Relative energy among the computed polymorphs in meV per atom: 202

! CuRu2W, relaxed, DFT PBE; values from VASP
&SYSTEM
  ibrav = 0, nat = 4, ntyp = 3
/
ATOMIC_SPECIES
Cu 63.55 Cu.upf
Ru 101.07 Ru.upf
W 183.84 W.upf
CELL_PARAMETERS angstrom
-3.5199 -0.4558 2.4690
-2.9204 -3.0464 -0.9402
-0.4131 -3.4613 2.5576
ATOMIC_POSITIONS crystal
Cu 0.5000 0.5000 0.5000
Ru 0.0000 0.0000 0.0000
Ru 0.7500 0.7500 0.7500
W 0.2500 0.2500 0.2500
! Relative energy among the computed polymorphs in meV per atom: 375

! CaSb2Br, relaxed, DFT PBE; values from VASP
&SYSTEM
  ibrav = 0, nat = 4, ntyp = 3
/
ATOMIC_SPECIES
Sb 121.76 Sb.upf
Ca 40.08 Ca.upf
Br 79.90 Br.upf
CELL_PARAMETERS angstrom
5.6921 0.0000 0.0000
0.0000 5.6921 0.0000
0.0000 0.0000 3.4880
ATOMIC_POSITIONS crystal
Sb 0.0000 0.0000 0.0000
Sb 0.5000 0.5000 0.0000
Ca 0.0000 0.5000 0.5000
Br 0.5000 0.0000 0.5000
! ΔE_f (raw) in eV per atom: -0.308
! Relative energy among the computed polymorphs in meV per atom: 529

! K3CdBi2S6, relaxed, DFT PBE; values from VASP
&SYSTEM
  ibrav = 0, nat = 12, ntyp = 4
/
ATOMIC_SPECIES
K 39.10 K.upf
Cd 112.41 Cd.upf
Bi 208.98 Bi.upf
S 32.06 S.upf
CELL_PARAMETERS angstrom
7.0712 -0.0004 0.0005
-3.5343 6.1246 0.0005
-1.1792 -2.0418 7.4290
ATOMIC_POSITIONS crystal
K 0.1672 0.8328 0.5000
K 0.8328 0.1672 0.5000
K 0.5000 0.5000 0.5000
Cd 0.0000 0.0000 0.0000
Bi 0.3334 0.6666 0.0000
Bi 0.6666 0.3334 0.0000
S 0.9314 0.6011 0.7942
S 0.7383 0.7383 0.2062
S 0.0686 0.3989 0.2058
S 0.6011 0.9314 0.7942
S 0.2617 0.2617 0.7938
S 0.3989 0.0686 0.2058
! ΔE_f (raw) in eV per atom: -0.723

! BeRhCl2, relaxed, DFT PBE; values from VASP
&SYSTEM
  ibrav = 0, nat = 4, ntyp = 3
/
ATOMIC_SPECIES
Be 9.01 Be.upf
Rh 102.91 Rh.upf
Cl 35.45 Cl.upf
CELL_PARAMETERS angstrom
-1.4602 -2.4965 -1.1811
4.0835 -2.4122 0.0500
-0.4319 -2.2599 5.3108
ATOMIC_POSITIONS crystal
Be 0.5000 0.8792 0.6193
Rh 0.0000 0.5201 0.6149
Cl 0.0000 0.8588 0.8735
Cl 0.5000 0.2420 0.3923
! ΔE_f (raw) in eV per atom: -0.338
! Relative energy among the computed polymorphs in meV per atom: 45

! SmReC, relaxed, DFT PBE; values from VASP
&SYSTEM
  ibrav = 0, nat = 6, ntyp = 3
/
ATOMIC_SPECIES
Sm 150.36 Sm.upf
Re 186.21 Re.upf
C 12.01 C.upf
CELL_PARAMETERS angstrom
-1.0566 2.8028 -2.2541
1.8502 -1.5907 -2.8456
-6.5930 -4.0930 -1.9989
ATOMIC_POSITIONS crystal
Sm 0.8135 0.8664 0.6021
Sm 0.3136 0.3665 0.2371
Re 0.8136 0.3665 0.9196
Re 0.3136 0.8665 0.9196
C 0.8136 0.8665 0.0501
C 0.3136 0.3665 0.7891
! Relative energy among the computed polymorphs in meV per atom: 78

! TeMo2W, relaxed, DFT PBE; values from VASP
&SYSTEM
  ibrav = 0, nat = 4, ntyp = 3
/
ATOMIC_SPECIES
Mo 95.94 Mo.upf
Te 127.60 Te.upf
W 183.84 W.upf
CELL_PARAMETERS angstrom
8.5902 -0.0146 -0.0086
8.0177 3.0837 -0.0086
8.0177 1.4816 2.7044
ATOMIC_POSITIONS crystal
Mo 0.0055 0.0055 0.0055
Mo 0.4945 0.4945 0.4945
Te 0.2500 0.2500 0.2500
W 0.7500 0.7500 0.7500
! ΔE_f (raw) in eV per atom: 0.477

! LiScTe2Se, relaxed, DFT PBE; values from VASP
&SYSTEM
  ibrav = 0, nat = 5, ntyp = 4
/
ATOMIC_SPECIES
Sc 44.96 Sc.upf
Te 127.60 Te.upf
Se 78.96 Se.upf
Li 6.94 Li.upf
CELL_PARAMETERS angstrom
5.8775 0.0000 0.0000
0.0000 4.8418 0.0000
0.0000 0.0000 5.8775
ATOMIC_POSITIONS crystal
Sc 0.0000 0.5000 0.0000
Te 0.0000 0.0000 0.5000
Te 0.5000 0.0000 0.0000
Se 0.0000 0.0000 0.0000
Li 0.5000 0.5000 0.5000
! ΔE_f (raw) in eV per atom: -0.159

! CoNiPtRh, relaxed, DFT PBE; values from VASP
&SYSTEM
  ibrav = 0, nat = 4, ntyp = 4
/
ATOMIC_SPECIES
Co 58.93 Co.upf
Ni 58.69 Ni.upf
Pt 195.08 Pt.upf
Rh 102.91 Rh.upf
CELL_PARAMETERS angstrom
-1.6702 -3.4246 0.1841
2.8083 -1.4832 -2.1131
1.3048 1.7023 3.9826
ATOMIC_POSITIONS crystal
Co 0.2500 0.7500 0.5000
Ni 0.7500 0.2500 0.5000
Pt 0.0000 0.0000 0.0000
Rh 0.5000 0.5000 0.0000
! Relative energy among the computed polymorphs in meV per atom: 0

! AlCoCl, relaxed, DFT PBE; values from VASP
&SYSTEM
  ibrav = 0, nat = 3, ntyp = 3
/
ATOMIC_SPECIES
Co 58.93 Co.upf
Al 26.98 Al.upf
Cl 35.45 Cl.upf
CELL_PARAMETERS angstrom
4.0810 0.0000 0.0000
2.0405 3.5343 0.0000
2.0405 1.1781 3.3322
ATOMIC_POSITIONS crystal
Co 0.7500 0.7500 0.7500
Al 0.0000 0.0000 0.0000
Cl 0.5000 0.5000 0.5000
! ΔE_f (raw) in eV per atom: 0.311
! Relative energy among the computed polymorphs in meV per atom: 408

! DyMgSnRu, relaxed, DFT PBE; values from VASP
&SYSTEM
  ibrav = 0, nat = 4, ntyp = 4
/
ATOMIC_SPECIES
Ru 101.07 Ru.upf
Mg 24.30 Mg.upf
Sn 118.71 Sn.upf
Dy 162.50 Dy.upf
CELL_PARAMETERS angstrom
4.8141 0.0000 0.0000
2.4071 4.1691 0.0000
2.4071 1.3897 3.9307
ATOMIC_POSITIONS crystal
Ru 0.2500 0.2500 0.2500
Mg 0.7500 0.7500 0.7500
Sn 0.0000 0.0000 0.0000
Dy 0.5000 0.5000 0.5000
! VASP energy in eV/cell: -20.52

! CuNiSe2, relaxed, DFT PBE; values from VASP
&SYSTEM
  ibrav = 0, nat = 4, ntyp = 3
/
ATOMIC_SPECIES
Cu 63.55 Cu.upf
Ni 58.69 Ni.upf
Se 78.96 Se.upf
CELL_PARAMETERS angstrom
-2.6017 -3.8864 2.1979
3.8764 -2.9484 -1.7276
-1.1351 3.5847 3.5448
ATOMIC_POSITIONS crystal
Cu 0.7500 0.2500 0.5000
Ni 0.2500 0.7500 0.5000
Se 0.0150 0.0150 0.0000
Se 0.4850 0.4850 0.0000
! ΔE_f (raw) in eV per atom: 0.183

! ScTl2Ni, relaxed, DFT PBE; values from VASP
&SYSTEM
  ibrav = 0, nat = 4, ntyp = 3
/
ATOMIC_SPECIES
Ni 58.69 Ni.upf
Sc 44.96 Sc.upf
Tl 204.38 Tl.upf
CELL_PARAMETERS angstrom
-0.2636 -2.2635 -2.3860
-1.0586 -2.2079 2.2114
-7.6605 2.3180 -1.3527
ATOMIC_POSITIONS crystal
Ni 0.0000 0.0000 0.5320
Sc 0.5000 0.5000 0.6905
Tl 0.0000 0.0000 0.9754
Tl 0.5000 0.5000 0.3021
! VASP energy in eV/cell: -17.15

! KTaN2, relaxed, DFT PBE; values from VASP
&SYSTEM
  ibrav = 0, nat = 4, ntyp = 3
/
ATOMIC_SPECIES
K 39.10 K.upf
N 14.01 N.upf
Ta 180.95 Ta.upf
CELL_PARAMETERS angstrom
1.1532 -3.0017 -2.4784
-1.6824 -3.6785 0.3472
-2.5356 -1.3514 -2.8682
ATOMIC_POSITIONS crystal
K 0.0000 0.0000 0.0000
N 0.2500 0.2500 0.2500
N 0.7500 0.7500 0.7500
Ta 0.5000 0.5000 0.5000
! ΔE_f (raw) in eV per atom: 1.030

! NaMg2Pd, relaxed, DFT PBE; values from VASP
&SYSTEM
  ibrav = 0, nat = 4, ntyp = 3
/
ATOMIC_SPECIES
Na 22.99 Na.upf
Mg 24.30 Mg.upf
Pd 106.42 Pd.upf
CELL_PARAMETERS angstrom
3.1541 0.0000 0.0000
1.5771 2.7315 0.0000
1.5771 0.9105 10.4240
ATOMIC_POSITIONS crystal
Na 0.0000 0.0000 0.0000
Mg 0.1029 0.1029 0.6914
Mg 0.8971 0.8971 0.3086
Pd 0.5000 0.5000 0.5000
! VASP energy in eV/cell: -10.39

! AcGaPb2, relaxed, DFT PBE; values from VASP
&SYSTEM
  ibrav = 0, nat = 4, ntyp = 3
/
ATOMIC_SPECIES
Pb 207.20 Pb.upf
Ac 227.00 Ac.upf
Ga 69.72 Ga.upf
CELL_PARAMETERS angstrom
4.0983 0.0000 0.0000
0.0000 4.0983 0.0000
0.0000 0.0000 7.2526
ATOMIC_POSITIONS crystal
Pb 0.0000 0.0000 0.7890
Pb 0.0000 0.0000 0.2110
Ac 0.5000 0.5000 0.5000
Ga 0.5000 0.5000 0.0000
! Relative energy among the computed polymorphs in meV per atom: 178

no.,V (Å³/atom),M_tot (μB/cell)
1,16.1,0.06
2,30.7,0.00
3,39.2,0.00
4,21.7,4.72
5,90.0,0.00
6,51.8,1.72
7,33.1,0.00
8,43.1,0.00
9,29.5,13.00
10,29.4,5.00
11,17.9,0.00
12,10.4,0.00
13,14.3,0.00
14,28.3,0.00
15,26.8,0.00
16,21.2,0.97
17,18.8,0.00
18,18.0,0.00
19,33.5,0.00
20,13.2,3.83
21,16.0,0.00
22,19.7,0.00
23,20.0,0.42
24,22.1,0.00
25,11.8,0.00
26,22.5,0.00
27,30.5,0.00